1.
VASP calculation (PBE-GGA) on LiHg2Pd9 after structural relaxation.

The structure belongs to space group P4/mmm (No. 123); the cell edges are 4.008, 4.008 and 11.962 Å and the angles 90.00°, 90.00° and 90.00°. The distinct sites, in fractional coordinates, are Li at (0.000, 0.000, 0.000), Hg at (0.000, 0.000, 0.328), Pd at (0.000, 0.500, 0.155), Pd at (0.000, 0.500, 0.500), Pd at (0.500, 0.500, 0.000) and Pd at (0.500, 0.500, 0.326).

For the formation enthalpy at 0 K, the calculation gives -0.140 eV per atom.

2.
VASP calculation (PBE-GGA) on K2Au after structural relaxation.

The structure belongs to space group C2/m (No. 12); the cell edges are 5.783, 5.778 and 8.281 Å and the angles 90.00°, 110.20° and 90.00°. The distinct sites, in fractional coordinates, are K at (0.121, 0.000, 0.243) and Au at (0.000, 0.500, 0.000).

For the formation enthalpy at 0 K, the calculation gives -0.209 eV per atom.

3.
VASP calculation (PBE-GGA) on Rb2CeSnS4 after structural relaxation.

The structure belongs to space group P2/m (No. 10); the cell edges are 7.364, 4.215 and 7.927 Å and the angles 90.00°, 107.35° and 90.00°. The distinct sites, in fractional coordinates, are Rb at (0.000, 0.000, 0.000), Rb at (0.500, 0.500, 0.000), Ce at (0.000, 0.500, 0.500), Sn at (0.500, 0.000, 0.500), S at (0.219, 0.000, 0.692) and S at (0.249, 0.500, 0.307).

The uncorrected formation energy comes out at -124.6 kJ/mol of atoms.

Total energy? In order: -4.24; -2.03; -4.84 eV per atom.